Entry 1:
# TcTeRh2 PBE optimized geometry
data_TcTeRh2
_space_group_name_H-M_alt 'C 1 2/m 1'
_space_group_IT_number 12
_cell_length_a 9.080
_cell_length_b 3.090
_cell_length_c 4.667
_cell_angle_alpha 90.00
_cell_angle_beta 98.51
_cell_angle_gamma 90.00
loop_
_space_group_symop_operation_xyz
'x,y,z'
'-x,-y,-z'
'-x,y,-z'
'x,-y,z'
'x+1/2,y+1/2,z'
'-x+1/2,-y+1/2,-z'
'-x+1/2,y+1/2,-z'
'x+1/2,-y+1/2,z'
loop_
_atom_site_label
_atom_site_type_symbol
_atom_site_fract_x
_atom_site_fract_y
_atom_site_fract_z
Tc1 Tc 0.000 0.000 0.000
Te1 Te 0.000 0.500 0.500
Rh1 Rh 0.241 0.500 0.231
# Formation energy from raw total energies = 0.650 eV/f.u.
# Uncorrected energy = -6.890 eV per atom

Entry 2:
# CePmSiIr PBE optimized geometry
data_CePmSiIr
_space_group_name_H-M_alt 'A m m 2'
_space_group_IT_number 38
_cell_length_a 4.053
_cell_length_b 4.139
_cell_length_c 11.020
_cell_angle_alpha 90.00
_cell_angle_beta 90.00
_cell_angle_gamma 90.00
loop_
_space_group_symop_operation_xyz
'x,y,z'
'-x,-y,z'
'-x,y,z'
'x,-y,z'
'x,y+1/2,z+1/2'
'-x,-y+1/2,z+1/2'
'-x,y+1/2,z+1/2'
'x,-y+1/2,z+1/2'
loop_
_atom_site_label
_atom_site_type_symbol
_atom_site_fract_x
_atom_site_fract_y
_atom_site_fract_z
Ce1 Ce 0.000 0.000 0.000
Pm1 Pm 0.500 0.000 0.720
Si1 Si 0.000 0.000 0.297
Ir1 Ir 0.500 0.000 0.443
# Polymorph energy (0 for the lowest one) = 0 meV/atom
# Formation energy from raw total energies = -3.197 eV/f.u.
# Uncorrected energy = -7.041 eV per atom

Number 1: magnetic moment 0.0000 μB/atom. Number 2: magnetic moment 0.0421 μB/atom.